Below is BaNb3As after structural relaxation, with properties calculated at the PBE level.

abc: 4.989 4.989 4.989
angles: 90.00 90.00 90.00
Space group Pm-3m (No. 221)
Unique sites:
Ba 0.000 0.000 0.000 x1
Nb 0.000 0.500 0.500 x3
As 0.500 0.500 0.500 x1

Values from the calculation:
As for the offset from the most stable computed form: 0 meV/atom. The calculation puts the density of states at the Fermi level at 8.414 states/eV/cell. The value obtained for the energy of formation from the pure elements is 16.75 kcal/mol of atoms.